Entry 1:
# TlCr2Cl

TlCr2Cl after structural relaxation (GGA-PBE, Alexandria).

```
TlCr2Cl
1.0
6.534 0.000 0.000
0.000 7.767 0.000
-0.013 0.000 3.222
Tl Cr Cl
2 4 2
Direct
0.000 0.000 0.000
0.500 0.500 0.000
0.250 0.250 0.500
0.250 0.750 0.500
0.750 0.250 0.500
0.750 0.750 0.500
0.000 0.500 0.000
0.500 0.000 0.000
```

Raw formation energy: 556.3 meV/atom
Total magnetization: 17.42 μB per cell
Distance to the lowest polymorph of the same formula: 424.4 meV per atom
E_tot: -21.23 eV/f.u.

---

Entry 2:
# Pt2RhW

Pt2RhW after structural relaxation (GGA-PBE, Alexandria).

```
Pt2RhW
1.0
9.280 0.000 0.000
0.000 2.798 0.000
-0.853 0.000 4.700
Pt Rh W
4 2 2
Direct
0.248 0.000 0.247
0.252 0.500 0.753
0.748 0.500 0.247
0.752 0.000 0.753
0.000 0.000 0.500
0.500 0.500 0.500
0.000 0.500 0.000
0.500 0.000 0.000
```

Total magnetization: 0.00 μB per cell
Energy relative to the elements: -0.1596 eV per atom
Distance to the lowest polymorph of the same formula: 143.6 meV per atom
E_tot: -33.02 eV/f.u.

---

Entry 3:
# Bi3AsS

Bi3AsS after structural relaxation (GGA-PBE, Alexandria).

```
Bi3AsS
1.0
5.375 0.000 0.000
0.000 5.375 0.000
0.000 0.000 5.375
Bi As S
3 1 1
Direct
0.000 0.000 0.500
0.000 0.500 0.000
0.500 0.000 0.000
0.500 0.500 0.500
0.000 0.000 0.000
```

Raw formation energy: 607.9 meV/atom
Total magnetization: 0.00 μB per cell
E_tot: -17.38 eV/f.u.

---

Entry 4:
# Li3Ga4Pt2

Li3Ga4Pt2 after structural relaxation (GGA-PBE, Alexandria).

```
Li3Ga4Pt2
1.0
3.734 -2.161 0.000
3.734 2.161 0.000
-0.025 0.000 8.142
Li Ga Pt
3 4 2
Direct
0.000 0.000 0.000
0.334 0.334 0.555
0.666 0.666 0.445
0.000 0.000 0.331
0.000 0.000 0.669
0.333 0.333 0.885
0.667 0.667 0.115
0.333 0.333 0.218
0.667 0.667 0.782
```

Total magnetization: 0.00 μB per cell
Energy relative to the elements: -0.6257 eV per atom
Distance to the lowest polymorph of the same formula: 0.0 meV per atom
E_tot: -35.56 eV/f.u.

---

Entry 5:
# Mg2ScRh

Mg2ScRh after structural relaxation (GGA-PBE, Alexandria).

```
Mg2ScRh
1.0
10.819 0.000 0.000
0.000 3.346 0.000
-1.952 0.000 4.174
Mg Sc Rh
4 2 2
Direct
0.219 0.000 0.219
0.281 0.500 0.781
0.719 0.500 0.219
0.781 0.000 0.781
0.000 0.000 0.500
0.500 0.500 0.500
0.000 0.500 0.000
0.500 0.000 0.000
```

Total magnetization: 0.00 μB per cell
Energy relative to the elements: -0.3882 eV per atom
E_tot: -18.43 eV/f.u.

---

Entry 6:
# AlRhBr2

AlRhBr2 after structural relaxation (GGA-PBE, Alexandria).

```
AlRhBr2
1.0
8.143 0.000 0.000
0.000 3.443 0.000
-1.274 0.000 7.196
Al Rh Br
2 2 4
Direct
0.000 0.000 0.000
0.500 0.500 0.000
0.208 0.500 0.078
0.708 0.000 0.078
0.303 0.000 0.774
0.497 0.000 0.297
0.803 0.500 0.774
0.997 0.500 0.297
```

Raw formation energy: -269.2 meV/atom
Total magnetization: 0.00 μB per cell
Distance to the lowest polymorph of the same formula: 105.8 meV per atom
E_tot: -15.52 eV/f.u.

---

Entry 7:
# HoNi6Ge

HoNi6Ge after structural relaxation (GGA-PBE, Alexandria).

```
HoNi6Ge
1.0
3.727 0.000 0.000
0.000 3.727 0.000
0.000 0.000 8.146
Ho Ni Ge
1 6 1
Direct
0.000 0.000 0.000
0.000 0.500 0.323
0.000 0.500 0.677
0.500 0.000 0.323
0.500 0.000 0.677
0.500 0.500 0.139
0.500 0.500 0.861
0.000 0.000 0.500
```

Total magnetization: 0.00 μB per cell
Energy relative to the elements: -0.1642 eV per atom
E_tot: -45.20 eV/f.u.

---

Entry 8:
# MnSe4Cl

MnSe4Cl after structural relaxation (GGA-PBE, Alexandria).

```
MnSe4Cl
1.0
0.000 4.019 4.019
4.019 0.000 4.019
4.019 4.019 0.000
Mn Se Cl
1 4 1
Direct
0.000 0.000 0.000
0.125 0.625 0.625
0.625 0.125 0.625
0.625 0.625 0.125
0.625 0.625 0.625
0.250 0.250 0.250
```

Raw formation energy: 433.3 meV/atom
Total magnetization: 4.41 μB per cell
E_tot: -22.35 eV/f.u.

---

Entry 9:
# Pr2GaGe3

Pr2GaGe3 after structural relaxation (GGA-PBE, Alexandria).

```
Pr2GaGe3
1.0
4.173 0.000 0.000
0.000 4.265 0.000
0.000 0.000 7.848
Pr Ga Ge
2 1 3
Direct
0.000 0.000 0.000
0.000 0.500 0.493
0.500 0.500 0.831
0.500 0.000 0.330
0.500 0.000 0.667
0.500 0.500 0.153
```

Total magnetization: 0.00 μB per cell
Energy relative to the elements: -0.6372 eV per atom
Distance to the lowest polymorph of the same formula: 0.0 meV per atom
E_tot: -30.26 eV/f.u.

---

Entry 10:
# Li2Pu2PaGe2

Li2Pu2PaGe2 after structural relaxation (GGA-PBE, Alexandria).

```
Li2Pu2PaGe2
1.0
4.589 0.000 0.000
-2.294 3.974 0.000
0.000 0.000 9.053
Li Pu Pa Ge
2 2 1 2
Direct
0.333 0.667 0.157
0.667 0.333 0.843
0.000 0.000 0.339
0.000 0.000 0.661
0.000 0.000 0.000
0.333 0.667 0.829
0.667 0.333 0.171
```

Total magnetization: 14.57 μB per cell
Energy relative to the elements: -0.1124 eV per atom
E_tot: -52.01 eV/f.u.

---

Entry 11:
# Ag2BHPd6

Ag2BHPd6 after structural relaxation (GGA-PBE, Alexandria).

```
Ag2BHPd6
1.0
4.098 -4.120 0.000
4.098 4.120 0.000
-4.084 0.000 4.121
Ag B H Pd
2 1 1 6
Direct
0.250 0.750 0.000
0.750 0.250 0.000
0.000 0.000 0.500
0.500 0.500 0.500
0.253 0.253 0.006
0.253 0.747 0.500
0.255 0.255 0.501
0.745 0.745 0.499
0.747 0.253 0.500
0.747 0.747 0.994
```

Total magnetization: 0.00 μB per cell
E_tot: -48.79 eV/f.u.

---

Entry 12:
# FeCo2Pt2

FeCo2Pt2 after structural relaxation (GGA-PBE, Alexandria).

```
FeCo2Pt2
1.0
6.040 0.000 0.000
0.000 6.040 0.000
0.000 0.000 3.765
Fe Co Pt
2 4 4
Direct
0.000 0.000 0.000
0.500 0.500 0.000
0.134 0.366 0.000
0.366 0.866 0.000
0.634 0.134 0.000
0.866 0.634 0.000
0.165 0.665 0.500
0.335 0.165 0.500
0.665 0.835 0.500
0.835 0.335 0.500
```

Total magnetization: 14.24 μB per cell
Energy relative to the elements: 0.0950 eV per atom
Distance to the lowest polymorph of the same formula: 0.0 meV per atom
E_tot: -34.28 eV/f.u.

---

> What is the total magnetization in the twelfth record?

14.24 μB per cell

---

What did the first record say?
# TlCr2Cl

TlCr2Cl after structural relaxation (GGA-PBE, Alexandria).

```
TlCr2Cl
1.0
6.534 0.000 0.000
0.000 7.767 0.000
-0.013 0.000 3.222
Tl Cr Cl
2 4 2
Direct
0.000 0.000 0.000
0.500 0.500 0.000
0.250 0.250 0.500
0.250 0.750 0.500
0.750 0.250 0.500
0.750 0.750 0.500
0.000 0.500 0.000
0.500 0.000 0.000
```

Raw formation energy: 556.3 meV/atom
Total magnetization: 17.42 μB per cell
Distance to the lowest polymorph of the same formula: 424.4 meV per atom
E_tot: -21.23 eV/f.u.

---

> Which of these has the highest total magnetization?

TlCr2Cl